No. 1
LaTaCr2Ge, optimized geometry, DFT PBE-GGA; formation energy from the elements = 1.359 eV/atom; density of states at the Fermi level = 9.20 states/eV/f.u.
1.0
4.463 0.000 0.000
0.000 5.384 0.000
0.000 0.000 4.463
La Cr Ta Ge
1 2 1 1
Cartesian
0.000 2.692 0.000
0.000 0.000 2.231
2.231 0.000 0.000
2.231 2.692 2.231
0.000 0.000 0.000


No. 2
LiCrGe2, optimized geometry, DFT PBE-GGA; formation energy from the elements = 0.464 eV/atom; density of states at the Fermi level = 5.78 states/eV/f.u.
1.0
3.932 0.000 0.000
0.000 3.932 0.000
1.966 1.966 8.436
Ge Li Cr
4 2 2
Cartesian
2.949 2.867 6.327
3.031 0.983 2.109
0.901 2.949 2.109
4.916 4.998 6.327
1.966 3.932 4.218
1.966 1.966 0.000
3.932 1.966 4.218
0.000 0.000 0.000


No. 3
Li3CrGe, optimized geometry, DFT PBE-GGA; formation energy from the elements = 0.812 eV/atom; density of states at the Fermi level = 1.97 states/eV/f.u.
1.0
4.765 0.000 0.000
0.000 4.765 0.000
0.000 0.000 4.765
Ge Li Cr
1 3 1
Cartesian
2.383 2.383 2.383
0.000 2.383 0.000
2.383 0.000 0.000
0.000 0.000 2.383
0.000 0.000 0.000


No. 4
LiCrGe2, optimized geometry, DFT PBE-GGA; formation energy from the elements = -0.012 eV/atom; density of states at the Fermi level = 2.41 states/eV/f.u.
1.0
3.132 0.000 0.000
0.000 3.132 0.000
0.000 0.000 5.752
Ge Li Cr
2 1 1
Cartesian
0.000 0.000 4.391
0.000 0.000 1.361
1.566 1.566 2.876
1.566 1.566 0.000


No. 5
LiCrGe2, optimized geometry, DFT PBE-GGA; formation energy from the elements = -0.024 eV/atom; density of states at the Fermi level = 2.16 states/eV/f.u.
1.0
-0.574 -2.791 -0.586
-0.090 -1.950 2.157
-8.346 -0.115 1.508
Cr Ge Li
1 2 1
Cartesian
-4.505 -2.429 1.539
-2.380 -1.191 0.785
-6.631 -3.666 2.294
0.000 0.000 0.000


No. 6
LiCrGe3, optimized geometry, DFT PBE-GGA; formation energy from the elements = 0.118 eV/atom; density of states at the Fermi level = 3.04 states/eV/f.u.
1.0
-4.662 -0.012 0.234
0.055 -4.586 0.868
0.227 0.869 4.580
Cr Li Ge
1 1 3
Cartesian
0.000 0.000 0.000
-2.189 -1.864 2.841
0.028 -2.293 0.434
0.114 0.435 2.290
-2.331 -0.006 0.117


> Which value of density of states at the Fermi level does entry 1 give?

9.20 states/eV/f.u.


Repeat the first record exactly.
LaTaCr2Ge, optimized geometry, DFT PBE-GGA; formation energy from the elements = 1.359 eV/atom; density of states at the Fermi level = 9.20 states/eV/f.u.
1.0
4.463 0.000 0.000
0.000 5.384 0.000
0.000 0.000 4.463
La Cr Ta Ge
1 2 1 1
Cartesian
0.000 2.692 0.000
0.000 0.000 2.231
2.231 0.000 0.000
2.231 2.692 2.231
0.000 0.000 0.000


> Which value of density of states at the Fermi level does entry 6 give?

3.04 states/eV/f.u.


> The lowest density of states at the Fermi level belongs to which entry?

Li3CrGe